# 1
Density functional theory data (GGA-PBE) for crystalline PaRuPtRh at its relaxed geometry.

Structure (POSCAR):
```
PaRuPtRh
1.0
3.945 0.000 0.000
0.000 4.095 0.000
0.000 0.000 4.214
Pa Ru Pt Rh
1 1 1 1
Cartesian
0.000 2.048 2.107
1.972 0.000 2.107
0.000 0.000 0.000
1.972 2.048 0.000
```

## Properties
Total magnetization: 0.00 Bohr magnetons per cell
Space-group type: Pmmm
Total DFT energy (no corrections): -35.5 eV/cell

***

# 2
Density functional theory data (GGA-PBE) for crystalline ScPaPtRh at its relaxed geometry.

Structure (POSCAR):
```
ScPaPtRh
1.0
-2.320 0.583 -4.172
-4.000 -2.515 -0.899
-4.266 2.219 -0.090
Sc Pa Rh Pt
1 1 1 1
Cartesian
-5.293 0.143 -2.580
0.000 0.000 0.000
-2.647 0.072 -1.290
-7.940 0.215 -3.871
```

## Properties
Total magnetization: 0.01 Bohr magnetons per cell
Space-group type: F-43m
Total DFT energy (no corrections): -32.5 eV/cell

***

# 3
Density functional theory data (GGA-PBE) for crystalline PaSi2PtRh2 at its relaxed geometry.

Structure (POSCAR):
```
PaSi2PtRh2
1.0
-3.583 2.719 -0.387
-0.701 -1.520 -4.192
-3.232 -3.977 1.983
Pa Si Pt Rh
1 2 1 2
Cartesian
-1.616 -1.989 0.991
-1.791 1.359 -0.194
-0.350 -0.760 -2.096
0.000 0.000 0.000
-4.551 -2.366 -0.812
-2.965 -0.413 -1.785
```

## Properties
Total magnetization: 0.36 Bohr magnetons per cell
E_form (uncorrected): -0.194 eV per atom
Space-group type: P4/mmm
Total DFT energy (no corrections): -42.3 eV/cell

***

# 4
Density functional theory data (GGA-PBE) for crystalline Pa2Si3PtRh4 at its relaxed geometry.

Structure (POSCAR):
```
Pa2Si3PtRh4
1.0
-1.255 -0.998 3.593
3.380 -1.907 0.650
4.429 9.255 4.118
Pa Si Pt Rh
2 3 1 4
Cartesian
0.504 1.865 2.849
4.987 5.937 3.392
2.215 4.627 2.059
3.274 7.653 5.425
2.217 0.149 0.816
3.277 3.175 4.181
1.062 -1.453 2.122
0.000 0.000 0.000
2.340 5.702 4.556
3.151 2.100 1.684
```

## Properties
Total magnetization: 0.00 Bohr magnetons per cell
E_form (uncorrected): -0.901 eV per atom
Space-group type: P-4m2
Total DFT energy (no corrections): -79.7 eV/cell